## NbSi2NiP (PBE-GGA)

Data for a relaxed structure of NbSi2NiP.

As for the distance to the lowest polymorph of the same formula: 2.228 eV per formula unit. The calculated density comes out at 3694 kg/m3. The formation energy (no corrections) comes out at 6.494 eV/f.u.

The structure belongs to space group P4/mmm (No. 123); the cell edges are 4.826, 4.826 and 4.607 Å and the angles 90.00°, 90.00° and 90.00°. The inequivalent atoms are Nb at (0.000, 0.000, 0.000), Si at (0.000, 0.500, 0.000), Ni at (0.000, 0.000, 0.500) and P at (0.500, 0.500, 0.500).



## Te2IrPt (PBE-GGA)

Data for a relaxed structure of Te2IrPt.

As for the distance to the lowest polymorph of the same formula: 0.000 eV per formula unit. The calculated density comes out at 11248 kg/m3. The formation energy (no corrections) comes out at -0.528 eV/f.u.

The structure belongs to space group R3m (No. 160, hexagonal axes); the cell edges are 3.9967, 3.9967 and 20.5682 Å and the angles 90.00°, 90.00° and 120.00°. The inequivalent atoms are Te at (0.0000, 0.0000, 0.0000), Te at (0.0000, 0.0000, 0.1895), Ir at (0.0000, 0.0000, 0.4658) and Pt at (0.0000, 0.0000, 0.7252).



## Ac3Hg2Ru (PBE-GGA)

Data for a relaxed structure of Ac3Hg2Ru.

As for the distance to the lowest polymorph of the same formula: 0.190 eV per formula unit. The calculated density comes out at 9652 kg/m3. The energy of formation from the pure elements is -0.3208 eV/atom.

The structure belongs to space group C2/c (No. 15); the cell edges are 15.990, 6.287 and 8.404 Å and the angles 90.00°, 105.43° and 90.00°. The inequivalent atoms are Ac at (0.000, 0.000, 0.250), Ac at (0.129, 0.500, 0.066), Hg at (0.190, 0.000, 0.093) and Ru at (0.000, 0.498, 0.250).



## TbAlZnAu (PBE-GGA)

Data for a relaxed structure of TbAlZnAu.

The calculated density comes out at 9610 kg/m3. The energy of formation from the pure elements is -0.5306 eV/atom.

The structure belongs to space group F-43m (No. 216); the cell edges are 6.767, 6.767 and 6.767 Å and the angles 90.00°, 90.00° and 90.00°. The inequivalent atoms are Tb at (0.000, 0.000, 0.000), Al at (0.000, 0.000, 0.500), Zn at (0.250, 0.250, 0.750) and Au at (0.250, 0.250, 0.250).



## Er7Mg3In (PBE-GGA)

Data for a relaxed structure of Er7Mg3In.

The calculated density comes out at 6983 kg/m3. The energy of formation from the pure elements is 0.1301 eV/atom.

The structure belongs to space group C2/m (No. 12); the cell edges are 11.496, 11.300 and 5.724 Å and the angles 90.00°, 119.66° and 90.00°. The inequivalent atoms are Er at (0.000, 0.000, 0.000), Er at (0.171, 0.270, 0.672), Er at (0.191, 0.500, 0.190), Mg at (0.000, 0.278, 0.000), Mg at (0.000, 0.500, 0.500) and In at (0.000, 0.000, 0.500).



## PrLuPt2 (PBE-GGA)

Data for a relaxed structure of PrLuPt2.

As for the distance to the lowest polymorph of the same formula: 0.136 eV per formula unit. The calculated density comes out at 13221 kg/m3. The energy of formation from the pure elements is -1.1127 eV/atom.

The structure belongs to space group Fm-3m (No. 225); the cell edges are 7.079, 7.079 and 7.079 Å and the angles 90.00°, 90.00° and 90.00°. The inequivalent atoms are Pr at (0.000, 0.000, 0.000), Lu at (0.000, 0.000, 0.500) and Pt at (0.250, 0.250, 0.250).



Number 1: energy -5.12 eV/atom. Number 2: energy -5.43 eV/atom. Number 3: energy -4.02 eV/atom. Number 4: energy -3.76 eV/atom. Number 5: energy -3.46 eV/atom. Number 6: energy -6.46 eV/atom.